Computed, not measured: a relaxed CeY2ErAs4 crystal at the GGA-PBE level of DFT.

Cell lengths 7.159, 4.139, 7.162 Å; angles 90.00, 109.42, 90.00 degrees
Element x y z (fractional)
Ce 0.000 0.000 0.000
Y 0.000 0.500 0.500
Y 0.500 0.000 0.500
Er 0.500 0.500 0.000
As 0.253 0.000 0.752
As 0.253 0.500 0.251
As 0.747 0.000 0.248
As 0.747 0.500 0.749

The calculation puts the formation energy at -1.5146 eV per atom. The calculation puts the total magnetization at 0.6 Bohr magnetons per cell. The density of states at the Fermi level is 6.2 states/eV/f.u.

***

Computed, not measured: a relaxed Li2UBr6 crystal at the GGA-PBE level of DFT.

Cell lengths 6.954, 6.954, 27.902 Å; angles 90.00, 90.00, 120.00 degrees
Element x y z (fractional)
Li 0.000 0.000 0.250
Li 0.000 0.000 0.750
Li 0.333 0.667 0.000
Li 0.333 0.667 0.250
Li 0.333 0.667 0.500
Li 0.667 0.333 0.000
Li 0.667 0.333 0.500
Li 0.667 0.333 0.750
U 0.000 0.000 0.000
U 0.000 0.000 0.500
U 0.333 0.667 0.750
U 0.667 0.333 0.250
Br 0.000 0.333 0.056
Br 0.000 0.333 0.306
Br 0.000 0.333 0.556
Br 0.000 0.333 0.806
Br 0.000 0.667 0.194
Br 0.000 0.667 0.444
Br 0.000 0.667 0.694
Br 0.000 0.667 0.944
Br 0.333 0.000 0.056
Br 0.333 0.000 0.306
Br 0.333 0.000 0.556
Br 0.333 0.000 0.806
Br 0.333 0.333 0.194
Br 0.333 0.333 0.444
Br 0.333 0.333 0.694
Br 0.333 0.333 0.944
Br 0.667 0.000 0.194
Br 0.667 0.000 0.444
Br 0.667 0.000 0.694
Br 0.667 0.000 0.944
Br 0.667 0.667 0.056
Br 0.667 0.667 0.306
Br 0.667 0.667 0.556
Br 0.667 0.667 0.806

For the formation energy (no corrections), the calculation gives -1.411 eV per atom. The calculation puts the total magnetization at 8.0 Bohr magnetons per cell. The density of states at the Fermi level is 6.5 states/eV/f.u. For the energy relative to the lowest polymorph listed for this composition, the calculation gives 0.00 eV per formula unit.